Entry from OQMD via LeMat-Bulk: an optimized crystal structure of CsCoC4O4 (PBE+U).

Results
Space-group type = I-4 (82)
Calculated total energy = -7.009 eV per atom

a = 5.344 Å, b = 6.412 Å, c = 6.412 Å
α = 100.00°, β = 65.37°, γ = 114.63°
Sites, in units of the cell vectors:
C: 0.493 0.283 0.405
C: 0.102 0.595 0.283
C: 0.615 0.717 0.595
C: 0.790 0.405 0.717
O: 0.522 0.863 0.659
O: 0.819 0.341 0.863
O: 0.341 0.659 0.137
O: 0.318 0.137 0.341
Co: 0.750 0.500 0.500
Cs: 0.000 0.000 0.000